Model a:
First-principles (PBE) data for a geometry-optimized PmSn2Ir2 structure, as listed in Alexandria via LeMat-Bulk.

a = 4.4596 Å, b = 4.4596 Å, c = 10.9495 Å
α = 90.00°, β = 90.00°, γ = 90.00°
Atoms (fractional coordinates):
Pm 0.2500 0.2500 0.2474
Pm 0.7500 0.7500 0.7526
Sn 0.2500 0.2500 0.8686
Sn 0.2500 0.7500 0.5000
Sn 0.7500 0.2500 0.5000
Sn 0.7500 0.7500 0.1314
Ir 0.2500 0.2500 0.6335
Ir 0.2500 0.7500 0.0000
Ir 0.7500 0.2500 0.0000
Ir 0.7500 0.7500 0.3665

Calculated values
As for the magnetization: 0.0 Bohr magnetons per cell.

=====

Model b:
First-principles (PBE) data for a geometry-optimized PmSn2Ir2 structure, as listed in Alexandria via LeMat-Bulk.

a = 4.6985 Å, b = 4.4692 Å, c = 10.6211 Å
α = 90.00°, β = 95.62°, γ = 90.00°
Atoms (fractional coordinates):
Pm 0.1922 0.2500 0.2565
Pm 0.8078 0.7500 0.7435
Sn 0.2488 0.7500 0.4957
Sn 0.3355 0.2500 0.8781
Sn 0.6645 0.7500 0.1219
Sn 0.7512 0.2500 0.5043
Ir 0.1468 0.7500 0.0014
Ir 0.2802 0.2500 0.6330
Ir 0.7198 0.7500 0.3670
Ir 0.8532 0.2500 0.9986

Calculated values
As for the magnetization: 0.0 Bohr magnetons per cell.

=====

Question: of the structures shown, which is the most stable? Reply: model a.